LiMoPbO4 (GGA+U, optimized geometry); total magnetization = 2.00 μB per cell; D(E_F) = 0.00 states/eV/cell; DFT total energy = -0.22916 hartree per atom
1.0
-3.2005 3.6528 4.2249
3.2005 -3.6528 4.2249
3.2005 3.6528 -4.2249
Li Mo Pb O
2 2 2 8
Direct
0.0000 0.0000 0.0000
0.5000 0.0000 0.5000
0.5000 0.0000 0.0000
0.5000 0.5000 0.5000
0.0955 0.3455 0.7500
0.9045 0.6545 0.2500
0.2736 0.2551 0.4814
0.2736 0.7922 0.0186
0.3172 0.2483 0.0690
0.3207 0.7517 0.5690
0.6793 0.2483 0.4310
0.6828 0.7517 0.9310
0.7264 0.2078 0.9814
0.7264 0.7449 0.5186